Material: MgTcGe2
Method: DFT, PBE
State: optimized geometry

## Properties
The total energy is -19.60 eV per cell. Its total moment is 0.797 μB/f.u.

Cell lengths 4.5522, 4.5522, 4.5522 Å; angles 60.00, 60.00, 60.00 degrees
With the nearest neighbours (Å) after each atom.
Fractional coordinates of all 4 atoms:
Ge 0.5000 0.5000 0.5000  4 Ge 2.79, 4 Mg 2.79
Ge 0.7500 0.7500 0.7500  4 Ge 2.79, 4 Tc 2.79
Tc 0.0000 0.0000 0.0000  4 Mg 2.79, 4 Ge 2.79
Mg 0.2500 0.2500 0.2500  4 Tc 2.79, 4 Ge 2.79